## CaTe2W (meta-GGA SCAN)

Data for CaTe2W at its PBEsol-relaxed geometry.

Cell and atoms, written as CIF:
```
data_CaTe2W
_cell_length_a 3.4110
_cell_length_b 3.4110
_cell_length_c 7.5306
_cell_angle_alpha 90.00
_cell_angle_beta 90.00
_cell_angle_gamma 90.00
_space_group_name_H-M_alt 'P 4/m m m'
_space_group_IT_number 123
_space_group_name_Hall '-P 4 2'
loop_
_atom_site_label
_atom_site_fract_x
_atom_site_fract_y
_atom_site_fract_z
Ca1 0.0000 0.0000 0.0000
Te1 0.5000 0.5000 0.2849
W1 0.0000 0.0000 0.5000
```

Volume in Å³/f.u.: 88
Total moment in μB per formula unit: 0.000
Total DFT energy (no corrections) in eV/atom: -38.39
Offset from the most stable computed form in meV per atom: 262